1.
# Cr2PN PBEsol relaxed
# Fermi-level density of states, states/eV per atom: 0.622
# Calculated volume, Å³ per atom: 9.87
# Symmetry: Fm-3m (225)
# Formation energy without anion corrections, kJ/mol of formula units: 66
data_Cr2PN
_space_group_name_H-M_alt 'P 1'
_space_group_IT_number 1
_cell_length_a 3.822
_cell_length_b 3.822
_cell_length_c 3.822
_cell_angle_alpha 60.00
_cell_angle_beta 60.00
_cell_angle_gamma 60.00
loop_
_space_group_symop_operation_xyz
'x,y,z'
loop_
_atom_site_label
_atom_site_type_symbol
_atom_site_fract_x
_atom_site_fract_y
_atom_site_fract_z
Cr1 Cr 0.750 0.750 0.750
Cr2 Cr 0.250 0.250 0.250
N1 N 0.000 0.000 0.000
P1 P 0.500 0.500 0.500

2.
# SiH PBEsol relaxed
# Fermi-level density of states, states/eV per atom: 0.000
# Calculated volume, Å³ per atom: 15.48
# Symmetry: P-3m1 (164)
data_SiH
_space_group_name_H-M_alt 'P 1'
_space_group_IT_number 1
_cell_length_a 3.857
_cell_length_b 3.857
_cell_length_c 4.806
_cell_angle_alpha 90.00
_cell_angle_beta 90.00
_cell_angle_gamma 120.00
loop_
_space_group_symop_operation_xyz
'x,y,z'
loop_
_atom_site_label
_atom_site_type_symbol
_atom_site_fract_x
_atom_site_fract_y
_atom_site_fract_z
Si1 Si 0.333 0.667 0.075
Si2 Si 0.667 0.333 0.925
H1 H 0.333 0.667 0.388
H2 H 0.667 0.333 0.612

3.
# CuIr PBEsol relaxed
# Fermi-level density of states, states/eV per atom: 0.963
# Calculated volume, Å³ per atom: 13.02
# Energy relative to the elements, meV/atom: 115
# Symmetry: P-3m1 (164)
data_CuIr
_space_group_name_H-M_alt 'P 1'
_space_group_IT_number 1
_cell_length_a 2.663
_cell_length_b 2.663
_cell_length_c 8.484
_cell_angle_alpha 90.00
_cell_angle_beta 90.00
_cell_angle_gamma 120.00
loop_
_space_group_symop_operation_xyz
'x,y,z'
loop_
_atom_site_label
_atom_site_type_symbol
_atom_site_fract_x
_atom_site_fract_y
_atom_site_fract_z
Ir1 Ir 0.333 0.667 0.371
Ir2 Ir 0.667 0.333 0.629
Cu1 Cu 0.667 0.333 0.117
Cu2 Cu 0.333 0.667 0.883

4.
# Ba4Pr3BiO12 PBEsol relaxed
# Fermi-level density of states, states/eV per atom: 0.462
# Calculated volume, Å³ per atom: 17.44
# Symmetry: P-1 (2)
# Formation energy without anion corrections, kJ/mol of formula units: -4734
data_Ba4Pr3BiO12
_space_group_name_H-M_alt 'P 1'
_space_group_IT_number 1
_cell_length_a 6.254
_cell_length_b 6.289
_cell_length_c 8.869
_cell_angle_alpha 90.15
_cell_angle_beta 89.81
_cell_angle_gamma 89.95
loop_
_space_group_symop_operation_xyz
'x,y,z'
loop_
_atom_site_label
_atom_site_type_symbol
_atom_site_fract_x
_atom_site_fract_y
_atom_site_fract_z
O1 O 0.787 0.762 0.042
O2 O 0.702 0.299 0.452
O3 O 0.921 0.520 0.765
O4 O 0.800 0.798 0.457
O5 O 0.213 0.238 0.958
O6 O 0.740 0.285 0.041
O7 O 0.079 0.480 0.235
O8 O 0.298 0.701 0.548
O9 O 0.586 0.031 0.752
O10 O 0.200 0.202 0.543
O11 O 0.414 0.969 0.248
O12 O 0.260 0.715 0.959
Ba1 Ba 0.508 0.531 0.243
Ba2 Ba 0.994 0.031 0.243
Ba3 Ba 0.492 0.469 0.757
Ba4 Ba 0.006 0.969 0.757
Pr1 Pr 0.500 0.000 0.000
Pr2 Pr 0.500 0.000 0.500
Pr3 Pr 0.000 0.500 0.500
Bi1 Bi 0.000 0.500 0.000

5.
# AlBi3C PBEsol relaxed
# Fermi-level density of states, states/eV per atom: 1.121
# Calculated volume, Å³ per atom: 30.30
# Energy relative to the elements, meV/atom: 1874
# Symmetry: Pm-3m (221)
data_AlBi3C
_space_group_name_H-M_alt 'P 1'
_space_group_IT_number 1
_cell_length_a 5.331
_cell_length_b 5.331
_cell_length_c 5.331
_cell_angle_alpha 90.00
_cell_angle_beta 90.00
_cell_angle_gamma 90.00
loop_
_space_group_symop_operation_xyz
'x,y,z'
loop_
_atom_site_label
_atom_site_type_symbol
_atom_site_fract_x
_atom_site_fract_y
_atom_site_fract_z
C1 C 0.500 0.500 0.500
Bi1 Bi 0.500 0.000 0.000
Bi2 Bi 0.000 0.000 0.500
Bi3 Bi 0.000 0.500 0.000
Al1 Al 0.000 0.000 0.000

6.
# RbNa2Te2 PBEsol relaxed
# Fermi-level density of states, states/eV per atom: 0.155
# Calculated volume, Å³ per atom: 30.15
# Symmetry: P4/mbm (127)
# Formation energy without anion corrections, kJ/mol of formula units: -397
data_RbNa2Te2
_space_group_name_H-M_alt 'P 1'
_space_group_IT_number 1
_cell_length_a 3.539
_cell_length_b 9.231
_cell_length_c 9.231
_cell_angle_alpha 90.00
_cell_angle_beta 90.00
_cell_angle_gamma 90.00
loop_
_space_group_symop_operation_xyz
'x,y,z'
loop_
_atom_site_label
_atom_site_type_symbol
_atom_site_fract_x
_atom_site_fract_y
_atom_site_fract_z
Te1 Te 0.500 0.326 0.174
Te2 Te 0.500 0.174 0.674
Te3 Te 0.500 0.674 0.826
Te4 Te 0.500 0.826 0.326
Na1 Na 0.000 0.378 0.878
Na2 Na 0.000 0.622 0.122
Na3 Na 0.000 0.122 0.378
Na4 Na 0.000 0.878 0.622
Rb1 Rb 0.000 0.000 0.000
Rb2 Rb 0.000 0.500 0.500

| no. | VASP energy (eV per atom) |
| --- | --- |
| 1 | -8.529 |
| 2 | -4.453 |
| 3 | -6.963 |
| 4 | -7.025 |
| 5 | -3.445 |
| 6 | -2.998 |